[1]
VASP calculation (PBE) on a geometry-optimized SbN2Cl5 structure.

abc: 7.6009 7.6009 12.1067
angles: 103.45 103.45 60.28
Closest atoms and distances in Å follow each position.
Fractional positions:
Sb: 0.1317 0.1317 0.2503  5 Cl 2.31-2.36
Sb: 0.8683 0.8683 0.7497  5 Cl 2.31-2.36
N: 0.2001 0.2001 0.6382  11 Cl 3.68-4.11
N: 0.3947 0.3947 0.0960  6 Cl 3.30-3.68
N: 0.6053 0.6053 0.9040  6 Cl 3.30-3.68
N: 0.7999 0.7999 0.3618  11 Cl 3.68-4.11
Cl: 0.0645 0.6368 0.8847  1 Sb 2.36
Cl: 0.1730 0.7460 0.6721  1 Sb 2.36
Cl: 0.2540 0.8270 0.3279  1 Sb 2.36
Cl: 0.2968 0.2968 0.3794  1 Sb 2.31
Cl: 0.3632 0.9355 0.1153  1 Sb 2.36
Cl: 0.6368 0.0645 0.8847  1 Sb 2.36
Cl: 0.7032 0.7032 0.6206  1 Sb 2.31
Cl: 0.7460 0.1730 0.6721  1 Sb 2.36
Cl: 0.8270 0.2540 0.3279  1 Sb 2.36
Cl: 0.9355 0.3632 0.1153  1 Sb 2.36

## Properties
**Total energy**: -2.93 eV per atom
**Crystal system**: monoclinic

***

[2]
VASP calculation (PBE) on a geometry-optimized SbN2Cl structure.

abc: 6.9486 6.9486 6.9486
angles: 27.22 27.22 27.22
Closest atoms and distances in Å follow each position.
Fractional positions:
Sb: 0.0000 0.0000 0.0000  2 N 2.20
N: 0.1097 0.1097 0.1097  1 Sb 2.20, 3 Cl 2.21
N: 0.8903 0.8903 0.8903  1 Sb 2.20, 3 Cl 2.21
Cl: 0.5000 0.5000 0.5000  6 N 2.21

## Properties
**Total energy**: -3.63 eV per atom
**Crystal system**: trigonal

***

[3]
VASP calculation (PBE) on a geometry-optimized SbNCl2 structure.

abc: 7.8416 7.8416 8.9911
angles: 94.09 94.09 28.96
Closest atoms and distances in Å follow each position.
Fractional positions:
Sb: 0.0925 0.0925 0.4326  4 Cl 2.69-2.70
Sb: 0.9075 0.9075 0.5674  4 Cl 2.69-2.70
N: 0.1369 0.1369 0.9539  6 Cl 3.60-3.71, 4 N 3.92-3.99
N: 0.8631 0.8631 0.0461  6 Cl 3.60-3.71, 4 N 3.92-3.99
Cl: 0.3459 0.3459 0.3803  2 Sb 2.70
Cl: 0.4556 0.4556 0.7609  2 Sb 2.69
Cl: 0.5444 0.5444 0.2391  2 Sb 2.69
Cl: 0.6541 0.6541 0.6197  2 Sb 2.70

## Properties
**Total energy**: -3.24 eV per atom
**Crystal system**: monoclinic

***

[4]
VASP calculation (PBE) on a geometry-optimized SbN2Cl structure.

abc: 5.9479 5.9479 5.9479
angles: 120.67 120.67 88.85
Closest atoms and distances in Å follow each position.
Fractional positions:
Sb: 0.0000 0.0000 0.0000  4 N 2.03
Sb: 0.7500 0.2500 0.5000  4 N 2.03
N: 0.0293 0.6250 0.9043  2 Sb 2.03
N: 0.3750 0.2793 0.4043  2 Sb 2.03
N: 0.7207 0.1250 0.0957  2 Sb 2.03
N: 0.8750 0.9707 0.5957  2 Sb 2.03
Cl: 0.2500 0.7500 0.5000  4 N 2.73
Cl: 0.5000 0.5000 0.0000  4 N 2.73

## Properties
**Total energy**: -4.40 eV per atom
**Crystal system**: tetragonal

***

[5]
VASP calculation (PBE) on a geometry-optimized SbNCl2 structure.

abc: 10.0988 10.0988 10.0988
angles: 20.42 20.42 20.42
Closest atoms and distances in Å follow each position.
Fractional positions:
Sb: 0.0000 0.0000 0.0000  2 Cl 2.43
N: 0.5000 0.5000 0.5000  6 Cl 3.25, 6 N 3.58
Cl: 0.0821 0.0821 0.0821  1 Sb 2.43
Cl: 0.9179 0.9179 0.9179  1 Sb 2.43

## Properties
**Total energy**: -2.94 eV per atom
**Crystal system**: trigonal

***

[6]
VASP calculation (PBE) on a geometry-optimized SbNCl2 structure.

abc: 8.8658 8.8658 8.8658
angles: 22.55 22.55 22.55
Closest atoms and distances in Å follow each position.
Fractional positions:
Sb: 0.0000 0.0000 0.0000  6 Cl 3.01
N: 0.5000 0.5000 0.5000  2 Cl 2.07
Cl: 0.4201 0.4201 0.4201  1 N 2.07
Cl: 0.5799 0.5799 0.5799  1 N 2.07

## Properties
**Total energy**: -2.98 eV per atom
**Crystal system**: trigonal

***

[7]
VASP calculation (PBE) on a geometry-optimized SbSe2NCl structure.

abc: 5.1568 5.1568 3.8279
angles: 90.00 90.00 90.00
Closest atoms and distances in Å follow each position.
Fractional positions:
Sb: 0.0000 0.0000 0.0000  8 Se 3.21
Se: 0.0000 0.5000 0.5000  2 Cl 2.58
Se: 0.5000 0.0000 0.5000  2 Cl 2.58
N: 0.5000 0.5000 0.0000  2 Cl 1.91
Cl: 0.5000 0.5000 0.5000  2 N 1.91

## Properties
**Total energy**: -2.95 eV per atom
**Crystal system**: tetragonal

***

[8]
VASP calculation (PBE) on a geometry-optimized SbSe2NCl structure.

abc: 5.5161 5.5161 3.9839
angles: 90.00 90.00 90.00
Closest atoms and distances in Å follow each position.
Fractional positions:
Sb: 0.0000 0.0000 0.0000  2 N 1.99
Se: 0.0000 0.5000 0.0000  2 Sb 2.76
Se: 0.5000 0.0000 0.0000  2 Sb 2.76
N: 0.0000 0.0000 0.5000  2 Sb 1.99
Cl: 0.5000 0.5000 0.5000  8 Se 3.40

## Properties
**Total energy**: -3.26 eV per atom
**Crystal system**: tetragonal

***

[9]
VASP calculation (PBE) on a geometry-optimized TcSbN2Cl structure.

abc: 3.9792 3.9792 4.9374
angles: 90.00 90.00 90.00
Closest atoms and distances in Å follow each position.
Fractional positions:
Tc: 0.0000 0.0000 0.0000  4 N 1.99
Sb: 0.5000 0.5000 0.5000  4 Cl 2.81
N: 0.0000 0.5000 0.0000  2 Tc 1.99
N: 0.5000 0.0000 0.0000  2 Tc 1.99
Cl: 0.0000 0.0000 0.5000  2 Tc 2.47

## Properties
**Total energy**: -5.78 eV per atom
**Crystal system**: tetragonal

***

[10]
VASP calculation (PBE) on a geometry-optimized Sb2TeNCl structure.

abc: 4.9517 4.9517 4.4327
angles: 90.00 90.00 90.00
Closest atoms and distances in Å follow each position.
Fractional positions:
Sb: 0.0000 0.5000 0.0000  2 N 2.48
Sb: 0.5000 0.0000 0.0000  2 N 2.48
Te: 0.0000 0.0000 0.5000  8 Sb 3.32, 4 Cl 3.50
N: 0.5000 0.5000 0.0000  2 Cl 2.22, 4 Sb 2.48
Cl: 0.5000 0.5000 0.5000  2 N 2.22

## Properties
**Total energy**: -3.72 eV per atom
**Crystal system**: tetragonal

***

[11]
VASP calculation (PBE) on a geometry-optimized SbTe2NCl structure.

abc: 4.7410 4.7410 5.0525
angles: 90.00 90.00 90.00
Closest atoms and distances in Å follow each position.
Fractional positions:
Sb: 0.0000 0.0000 0.0000  2 N 2.53
Te: 0.0000 0.5000 0.5000  2 N 2.37
Te: 0.5000 0.0000 0.5000  2 N 2.37
N: 0.0000 0.0000 0.5000  4 Te 2.37, 2 Sb 2.53
Cl: 0.5000 0.5000 0.0000  4 Sb 3.35, 8 Te 3.46

## Properties
**Total energy**: -3.45 eV per atom
**Crystal system**: tetragonal

***

[12]
VASP calculation (PBE) on a geometry-optimized SbTe2NCl structure.

abc: 6.4810 6.4810 3.2534
angles: 90.00 90.00 90.00
Closest atoms and distances in Å follow each position.
Fractional positions:
Sb: 0.0000 0.0000 0.0000  2 Sb 3.25, 8 Te 3.63
Te: 0.0000 0.5000 0.5000  2 Cl 3.24, 2 Te 3.25, 4 N 3.63, 4 Sb 3.63
Te: 0.5000 0.0000 0.5000  2 Cl 3.24, 2 Te 3.25, 4 N 3.63, 4 Sb 3.63
N: 0.5000 0.5000 0.0000  2 Cl 1.63
Cl: 0.5000 0.5000 0.5000  2 N 1.63

## Properties
**Total energy**: -2.86 eV per atom
**Crystal system**: tetragonal

***

[13]
VASP calculation (PBE) on a geometry-optimized SbTe2NCl structure.

abc: 5.9715 5.9715 3.8822
angles: 90.00 90.00 90.00
Closest atoms and distances in Å follow each position.
Fractional positions:
Sb: 0.0000 0.0000 0.0000  2 N 1.94
Te: 0.0000 0.5000 0.0000  2 Sb 2.99
Te: 0.5000 0.0000 0.0000  2 Sb 2.99
N: 0.0000 0.0000 0.5000  2 Sb 1.94
Cl: 0.5000 0.5000 0.5000  8 Te 3.56, 2 Cl 3.88

## Properties
**Total energy**: -3.21 eV per atom
**Crystal system**: tetragonal

***

[14]
VASP calculation (PBE) on a geometry-optimized Sb2TeNCl structure.

abc: 4.9055 4.9055 4.7125
angles: 90.00 90.00 90.00
Closest atoms and distances in Å follow each position.
Fractional positions:
Sb: 0.0000 0.5000 0.0000  2 N 2.45
Sb: 0.5000 0.0000 0.0000  2 N 2.45
Te: 0.0000 0.0000 0.5000  2 N 2.36
N: 0.0000 0.0000 0.0000  2 Te 2.36, 4 Sb 2.45
Cl: 0.5000 0.5000 0.5000  8 Sb 3.40, 4 Te 3.47

## Properties
**Total energy**: -3.69 eV per atom
**Crystal system**: tetragonal

***

[15]
VASP calculation (PBE) on a geometry-optimized TiSbNCl2 structure.

abc: 5.5699 5.5699 3.9488
angles: 90.00 90.00 90.00
Closest atoms and distances in Å follow each position.
Fractional positions:
Ti: 0.0000 0.0000 0.0000  8 Cl 3.41
Sb: 0.5000 0.5000 0.5000  2 N 1.97
N: 0.5000 0.5000 0.0000  2 Sb 1.97
Cl: 0.0000 0.5000 0.5000  2 Sb 2.78
Cl: 0.5000 0.0000 0.5000  2 Sb 2.78

## Properties
**Total energy**: -4.22 eV per atom
**Crystal system**: tetragonal

***

[16]
VASP calculation (PBE) on a geometry-optimized TiSbN2Cl structure.

abc: 3.9992 3.9992 5.7569
angles: 90.00 90.00 90.00
Closest atoms and distances in Å follow each position.
Fractional positions:
Ti: 0.0000 0.0000 0.0000  4 Cl 2.83, 2 Sb 2.88
Sb: 0.0000 0.0000 0.5000  4 N 2.00
N: 0.0000 0.5000 0.5000  2 Sb 2.00
N: 0.5000 0.0000 0.5000  2 Sb 2.00
Cl: 0.5000 0.5000 0.0000  4 Ti 2.83

## Properties
**Total energy**: -4.96 eV per atom
**Crystal system**: tetragonal

***

[17]
VASP calculation (PBE) on a geometry-optimized ZrSb2NCl structure.

abc: 4.5668 4.5668 4.7919
angles: 90.00 90.00 90.00
Closest atoms and distances in Å follow each position.
Fractional positions:
Zr: 0.0000 0.0000 0.0000  4 Cl 3.23, 8 Sb 3.31
Sb: 0.0000 0.5000 0.5000  2 N 2.28
Sb: 0.5000 0.0000 0.5000  2 N 2.28
N: 0.5000 0.5000 0.5000  4 Sb 2.28, 2 Cl 2.40
Cl: 0.5000 0.5000 0.0000  2 N 2.40

## Properties
**Total energy**: -4.96 eV per atom
**Crystal system**: tetragonal

***

[18]
VASP calculation (PBE) on a geometry-optimized ScN2Cl4 structure.

abc: 7.4249 7.4249 6.9997
angles: 103.30 103.30 28.33
Closest atoms and distances in Å follow each position.
Fractional positions:
Sc: 0.0000 0.0000 0.0000  4 N 2.28, 2 Cl 2.39
N: 0.4331 0.4331 0.1117  1 Cl 1.61
N: 0.5669 0.5669 0.8883  1 Cl 1.61
Cl: 0.1265 0.1265 0.2908  1 Sc 2.39
Cl: 0.3512 0.3512 0.2326  1 N 1.61
Cl: 0.6488 0.6488 0.7674  1 N 1.61
Cl: 0.8735 0.8735 0.7092  1 Sc 2.39

## Properties
**Total energy**: -4.57 eV per atom
**Crystal system**: monoclinic

***

[19]
VASP calculation (PBE) on a geometry-optimized ScNCl3 structure.

abc: 4.4735 4.4735 4.4735
angles: 90.00 90.00 90.00
Closest atoms and distances in Å follow each position.
Fractional positions:
Sc: 0.0000 0.0000 0.0000  12 Cl 3.16
N: 0.5000 0.5000 0.5000  6 Cl 2.24
Cl: 0.0000 0.5000 0.5000  2 N 2.24
Cl: 0.5000 0.0000 0.5000  2 N 2.24
Cl: 0.5000 0.5000 0.0000  2 N 2.24

## Properties
**Total energy**: -3.71 eV per atom
**Crystal system**: cubic

***

[20]
VASP calculation (PBE) on a geometry-optimized Sc2NCl2 structure.

abc: 3.3695 3.3695 9.5684
angles: 90.00 90.00 120.00
Closest atoms and distances in Å follow each position.
Fractional positions:
Sc: 0.3333 0.6667 0.3757  3 N 2.28
Sc: 0.6667 0.3333 0.6243  3 N 2.28
N: 0.0000 0.0000 0.5000  6 Sc 2.28
Cl: 0.3333 0.6667 0.8007  3 Sc 2.58
Cl: 0.6667 0.3333 0.1993  3 Sc 2.58

## Properties
**Total energy**: -6.92 eV per atom
**Crystal system**: trigonal

***

[21]
VASP calculation (PBE) on a geometry-optimized Sc4NCl6 structure.

abc: 11.8007 12.0506 3.5030
angles: 90.00 90.00 90.00
Closest atoms and distances in Å follow each position.
Fractional positions:
Sc: 0.0945 0.0836 0.0000  2 N 2.31, 2 Cl 2.56-2.57
Sc: 0.1260 0.8634 0.5000  1 N 2.22
Sc: 0.3740 0.3634 0.5000  1 N 2.22
Sc: 0.4055 0.5836 0.0000  2 N 2.31, 2 Cl 2.56-2.57
Sc: 0.5945 0.4164 0.0000  2 N 2.31, 2 Cl 2.56-2.57
Sc: 0.6260 0.6366 0.5000  1 N 2.22
Sc: 0.8740 0.1366 0.5000  1 N 2.22
Sc: 0.9055 0.9164 0.0000  2 N 2.31, 2 Cl 2.56-2.57
N: 0.0000 0.0000 0.5000  6 Sc 2.22-2.31
N: 0.5000 0.5000 0.5000  6 Sc 2.22-2.31
Cl: 0.0298 0.7419 0.0000  3 Sc 2.55-2.56
Cl: 0.2184 0.1916 0.5000  3 Sc 2.63-2.77
Cl: 0.2408 0.4446 0.0000  3 Sc 2.55-2.57
Cl: 0.2592 0.9446 0.0000  3 Sc 2.55-2.57
Cl: 0.2816 0.6916 0.5000  3 Sc 2.63-2.77
Cl: 0.4702 0.2419 0.0000  3 Sc 2.55-2.56
Cl: 0.5298 0.7581 0.0000  3 Sc 2.55-2.56
Cl: 0.7184 0.3084 0.5000  3 Sc 2.63-2.77
Cl: 0.7408 0.0554 0.0000  3 Sc 2.55-2.57
Cl: 0.7592 0.5554 0.0000  3 Sc 2.55-2.57
Cl: 0.7816 0.8084 0.5000  3 Sc 2.63-2.77
Cl: 0.9702 0.2581 0.0000  3 Sc 2.55-2.56

## Properties
**Total energy**: -6.03 eV per atom
**Crystal system**: orthorhombic

***

[22]
VASP calculation (PBE) on a geometry-optimized ScN3Cl structure.

abc: 3.7151 3.7151 3.7151
angles: 90.00 90.00 90.00
Closest atoms and distances in Å follow each position.
Fractional positions:
Sc: 0.0000 0.0000 0.0000  12 N 2.63
N: 0.0000 0.5000 0.5000  2 Cl 1.86
N: 0.5000 0.0000 0.5000  2 Cl 1.86
N: 0.5000 0.5000 0.0000  2 Cl 1.86
Cl: 0.5000 0.5000 0.5000  6 N 1.86

## Properties
**Total energy**: -5.11 eV per atom
**Crystal system**: cubic

***

[23]
VASP calculation (PBE) on a geometry-optimized Sc2NCl2 structure.

abc: 9.8887 9.8887 9.8887
angles: 19.62 19.62 19.62
Closest atoms and distances in Å follow each position.
Fractional positions:
Sc: 0.1258 0.1258 0.1258  3 N 2.28
Sc: 0.8742 0.8742 0.8742  3 N 2.28
N: 0.5000 0.5000 0.5000  6 Sc 2.28
Cl: 0.2656 0.2656 0.2656  3 Sc 2.58
Cl: 0.7344 0.7344 0.7344  3 Sc 2.58

## Properties
**Total energy**: -6.92 eV per atom
**Crystal system**: trigonal

***

[24]
VASP calculation (PBE) on a geometry-optimized ScN3Cl structure.

abc: 4.3482 4.3482 4.3482
angles: 90.00 90.00 90.00
Closest atoms and distances in Å follow each position.
Fractional positions:
Sc: 0.0000 0.0000 0.0000  6 N 2.17
N: 0.0000 0.0000 0.5000  2 Sc 2.17
N: 0.0000 0.5000 0.0000  2 Sc 2.17
N: 0.5000 0.0000 0.0000  2 Sc 2.17
Cl: 0.5000 0.5000 0.5000  12 N 3.07

## Properties
**Total energy**: -5.09 eV per atom
**Crystal system**: cubic

***

[25]
VASP calculation (PBE) on a geometry-optimized Sc3NCl structure.

abc: 4.4863 4.4863 4.4863
angles: 90.00 90.00 90.00
Closest atoms and distances in Å follow each position.
Fractional positions:
Sc: 0.0000 0.0000 0.5000  2 N 2.24
Sc: 0.0000 0.5000 0.0000  2 N 2.24
Sc: 0.5000 0.0000 0.0000  2 N 2.24
N: 0.0000 0.0000 0.0000  6 Sc 2.24
Cl: 0.5000 0.5000 0.5000  12 Sc 3.17

## Properties
**Total energy**: -6.48 eV per atom
**Crystal system**: cubic

***

[26]
VASP calculation (PBE) on a geometry-optimized Sc4NCl5 structure.

abc: 8.3122 8.3122 7.2812
angles: 102.78 102.78 24.01
Closest atoms and distances in Å follow each position.
Fractional positions:
Sc: 0.0008 0.0008 0.2979  2 N 2.27
Sc: 0.3646 0.3646 0.4282  1 N 2.15
Sc: 0.6354 0.6354 0.5718  1 N 2.15
Sc: 0.9992 0.9992 0.7021  2 N 2.27
N: 0.5000 0.5000 0.5000  6 Sc 2.15-2.27
Cl: 0.1609 0.1609 0.8346  3 Sc 2.54-2.59
Cl: 0.1668 0.1668 0.3343  3 Sc 2.58-2.65
Cl: 0.5000 0.5000 0.0000  4 Sc 2.77
Cl: 0.8332 0.8332 0.6657  3 Sc 2.58-2.65
Cl: 0.8391 0.8391 0.1654  3 Sc 2.54-2.59

## Properties
**Total energy**: -6.14 eV per atom
**Crystal system**: monoclinic